The following is a DFT calculation (PBEsol) of In2Pb after structural relaxation.

Calculated formation energy in meV/atom: 51
Density in kg/m3: 8901
Calculated total energy in eV per formula unit: -9.81
N(E_F) in states/eV/cell: 3.1
Volume in A^3/atom: 27.17
Energy above the most stable polymorph in this dataset in meV per atom: 40

a b c (Å): 5.4693 5.4693 6.2918
angles (deg): 90.00 90.00 120.00
Space group P6_3/mmc (No. 194)
Asymmetric unit:
In (0.0000, 0.0000, 0.0000) (multiplicity 2)
In (0.3333, 0.6667, 0.2500) (multiplicity 2)
Pb (0.3333, 0.6667, 0.7500) (multiplicity 2)


The following is a DFT calculation (PBEsol) of InPb3 after structural relaxation.

Calculated formation energy in meV/atom: 32
Density in kg/m3: 10538
Calculated total energy in eV per formula unit: -14.85
N(E_F) in states/eV/cell: 2.3
Volume in A^3/atom: 29.01

a b c (Å): 3.378 5.734 5.996
angles (deg): 90.00 92.52 90.00
Space group P2/m (No. 10)
Asymmetric unit:
In (0.000, 0.000, 0.000) (multiplicity 1)
Pb (0.236, 0.500, 0.754) (multiplicity 2)
Pb (0.500, 0.000, 0.500) (multiplicity 1)


The following is a DFT calculation (PBEsol) of InPb after structural relaxation.

Calculated formation energy in meV/atom: 16
Density in kg/m3: 9689
Calculated total energy in eV per formula unit: -6.95
N(E_F) in states/eV/cell: 4.2
Volume in A^3/atom: 27.59

a b c (Å): 4.690 4.690 10.034
angles (deg): 90.00 90.00 90.00
Space group I4_1/amd (No. 141, origin choice 2)
Asymmetric unit:
In (0.000, 0.250, 0.375) (multiplicity 4)
Pb (0.000, 0.250, 0.875) (multiplicity 4)


The following is a DFT calculation (PBEsol) of In2Pb after structural relaxation.

Calculated formation energy in meV/atom: 15
Density in kg/m3: 9000
Calculated total energy in eV per formula unit: -9.92
N(E_F) in states/eV/cell: 6.1
Volume in A^3/atom: 26.87
Energy above the most stable polymorph in this dataset in meV per atom: 5

a b c (Å): 4.726 14.243 4.790
angles (deg): 90.00 90.00 90.00
Space group Cmcm (No. 63)
Asymmetric unit:
In (0.000, 0.087, 0.250) (multiplicity 4)
In (0.000, 0.250, 0.750) (multiplicity 4)
Pb (0.000, 0.415, 0.250) (multiplicity 4)


The following is a DFT calculation (PBEsol) of InPb3 after structural relaxation.

Calculated formation energy in meV/atom: 46
Density in kg/m3: 10641
Calculated total energy in eV per formula unit: -14.80
N(E_F) in states/eV/cell: 7.1
Volume in A^3/atom: 28.73

a b c (Å): 10.8637 10.8637 3.3731
angles (deg): 90.00 90.00 120.00
Space group R-3m (No. 166, hexagonal axes)
Asymmetric unit:
In (0.0000, 0.0000, 0.0000) (multiplicity 3)
Pb (0.0000, 0.5000, 0.0000) (multiplicity 9)


The following is a DFT calculation (PBEsol) of InPb after structural relaxation.

Calculated formation energy in meV/atom: 78
Density in kg/m3: 9151
Calculated total energy in eV per formula unit: -6.83
N(E_F) in states/eV/cell: 3.5
Volume in A^3/atom: 29.22

a b c (Å): 5.2466 5.2466 9.8045
angles (deg): 90.00 90.00 120.00
Space group P6_3/mmc (No. 194)
Asymmetric unit:
In (0.0000, 0.0000, 0.2500) (multiplicity 2)
In (0.3333, 0.6667, 0.2500) (multiplicity 2)
Pb (0.3333, 0.6667, 0.5759) (multiplicity 4)